No. 1
An optimized crystal structure of NiSF2, computed with PBEsol.

Cell: 3.950 3.950 3.950 Å, 60.00 60.00 60.00°
Fractional positions:
S1 0.000 0.000 0.000
F1 0.750 0.750 0.750
F2 0.250 0.250 0.250
Ni1 0.500 0.500 0.500

No. 2
An optimized crystal structure of NiS3F, computed with PBEsol.

Cell: 4.319 4.319 4.319 Å, 90.00 90.00 90.00°
Fractional positions:
S1 0.000 0.000 0.500
S2 0.000 0.500 0.000
S3 0.500 0.000 0.000
F1 0.500 0.500 0.500
Ni1 0.000 0.000 0.000

No. 3
An optimized crystal structure of NiSF2, computed with PBEsol.

Cell: 2.812 2.812 8.932 Å, 80.94 80.94 60.00°
Fractional positions:
F1 0.124 0.124 0.627
F2 0.876 0.876 0.373
S1 0.000 0.000 0.000
Ni1 0.500 0.500 0.500

No. 4
An optimized crystal structure of Ni3SbF, computed with PBEsol.

Cell: 4.627 4.627 4.627 Å, 90.00 90.00 90.00°
Fractional positions:
Ni1 0.500 0.000 0.000
Ni2 0.000 0.000 0.500
Ni3 0.000 0.500 0.000
F1 0.500 0.500 0.500
Sb1 0.000 0.000 0.000

No. 5
An optimized crystal structure of NiSeF2, computed with PBEsol.

Cell: 4.046 4.046 4.046 Å, 60.00 60.00 60.00°
Fractional positions:
F1 0.250 0.250 0.250
F2 0.750 0.750 0.750
Ni1 0.000 0.000 0.000
Se1 0.500 0.500 0.500

No. 6
An optimized crystal structure of Tl2NiSeF, computed with PBEsol.

Cell: 4.203 5.943 5.943 Å, 90.00 90.00 90.00°
Fractional positions:
F1 0.500 0.500 0.500
Tl1 0.000 0.500 0.000
Tl2 0.000 0.000 0.500
Se1 0.000 0.000 0.000
Ni1 0.500 0.000 0.000

No. 7
An optimized crystal structure of Zr2NiSeF, computed with PBEsol.

Cell: 4.214 4.214 4.846 Å, 90.00 90.00 90.00°
Fractional positions:
Se1 0.000 0.000 0.500
Zr1 0.500 0.000 0.000
Zr2 0.000 0.500 0.000
Ni1 0.500 0.500 0.500
F1 0.000 0.000 0.000

No. 8
An optimized crystal structure of SiNi2F2, computed with PBEsol.

Cell: 4.224 4.224 4.224 Å, 86.04 62.26 117.74°
Fractional positions:
Si1 0.000 0.000 0.000
Ni1 0.500 0.250 0.250
Ni2 0.500 0.750 0.750
F1 0.000 0.315 0.685
F2 0.000 0.685 0.315

No. 9
An optimized crystal structure of NiSn3F, computed with PBEsol.

Cell: 4.839 4.839 4.839 Å, 90.00 90.00 90.00°
Fractional positions:
Sn1 0.000 0.000 0.500
Sn2 0.000 0.500 0.000
Sn3 0.500 0.000 0.000
Ni1 0.000 0.000 0.000
F1 0.500 0.500 0.500

No. 10
An optimized crystal structure of SrNi2F, computed with PBEsol.

Cell: 4.416 4.416 4.416 Å, 60.00 60.00 60.00°
Fractional positions:
Sr1 0.500 0.500 0.500
Ni1 0.750 0.750 0.750
Ni2 0.250 0.250 0.250
F1 0.000 0.000 0.000

No. 11
An optimized crystal structure of SrNiF4, computed with PBEsol.

Cell: 3.974 5.568 7.395 Å, 90.00 105.59 90.00°
Fractional positions:
Ni1 0.087 0.678 0.173
Ni2 0.913 0.178 0.827
F1 0.583 0.702 0.166
F2 0.796 0.373 0.591
F3 0.204 0.873 0.409
F4 0.036 0.019 0.072
F5 0.836 0.888 0.673
F6 0.964 0.519 0.928
F7 0.164 0.388 0.327
F8 0.417 0.202 0.834
Sr1 0.655 0.123 0.309
Sr2 0.345 0.623 0.691

No. 12
An optimized crystal structure of Sr2TcNiF, computed with PBEsol.

Cell: 4.264 5.707 5.707 Å, 90.00 90.00 90.00°
Fractional positions:
Tc1 0.500 0.000 0.000
Sr1 0.000 0.000 0.500
Sr2 0.000 0.500 0.000
Ni1 0.000 0.000 0.000
F1 0.500 0.500 0.500

No. 13
An optimized crystal structure of SrYNi2F, computed with PBEsol.

Cell: 4.482 4.482 6.332 Å, 90.00 90.00 90.00°
Fractional positions:
Ni1 0.000 0.500 0.000
Ni2 0.500 0.000 0.000
Sr1 0.000 0.000 0.000
Y1 0.000 0.000 0.500
F1 0.500 0.500 0.500

No. 14
An optimized crystal structure of TaNiF2, computed with PBEsol.

Cell: 3.963 3.963 3.963 Å, 60.00 60.00 60.00°
Fractional positions:
F1 0.750 0.750 0.750
F2 0.250 0.250 0.250
Ta1 0.500 0.500 0.500
Ni1 0.000 0.000 0.000

No. 15
An optimized crystal structure of TcNiF3, computed with PBEsol.

Cell: 3.970 3.970 3.970 Å, 90.00 90.00 90.00°
Fractional positions:
Ni1 0.000 0.000 0.000
F1 0.000 0.500 0.000
F2 0.500 0.000 0.000
F3 0.000 0.000 0.500
Tc1 0.500 0.500 0.500

No. 16
An optimized crystal structure of Tc3NiF, computed with PBEsol.

Cell: 4.417 4.417 4.417 Å, 90.00 90.00 90.00°
Fractional positions:
F1 0.500 0.500 0.500
Tc1 0.500 0.000 0.000
Tc2 0.000 0.000 0.500
Tc3 0.000 0.500 0.000
Ni1 0.000 0.000 0.000

No. 17
An optimized crystal structure of NiTe3F, computed with PBEsol.

Cell: 4.835 4.835 4.835 Å, 90.00 90.00 90.00°
Fractional positions:
Te1 0.500 0.000 0.000
Te2 0.000 0.000 0.500
Te3 0.000 0.500 0.000
Ni1 0.500 0.500 0.500
F1 0.000 0.000 0.000

No. 18
An optimized crystal structure of Ti3NiF, computed with PBEsol.

Cell: 4.046 4.046 4.046 Å, 90.00 90.00 90.00°
Fractional positions:
F1 0.000 0.000 0.000
Ti1 0.000 0.500 0.000
Ti2 0.000 0.000 0.500
Ti3 0.500 0.000 0.000
Ni1 0.500 0.500 0.500

No. 19
An optimized crystal structure of Ni3WF, computed with PBEsol.

Cell: 3.882 3.882 3.882 Å, 90.00 90.00 90.00°
Fractional positions:
F1 0.000 0.000 0.000
Ni1 0.000 0.500 0.000
Ni2 0.500 0.000 0.000
Ni3 0.000 0.000 0.500
W1 0.500 0.500 0.500

No. 20
An optimized crystal structure of ZnNiF5, computed with PBEsol.

Cell: 4.953 7.141 9.464 Å, 90.00 90.00 110.52°
Fractional positions:
F1 0.162 0.503 0.605
F2 0.580 0.358 0.645
F3 0.031 0.446 0.879
F4 0.531 0.946 0.621
F5 0.531 0.656 0.814
F6 0.413 0.290 0.908
F7 0.969 0.844 0.314
F8 0.469 0.344 0.186
F9 0.920 0.142 0.145
F10 0.031 0.156 0.686
F11 0.969 0.554 0.121
F12 0.838 0.497 0.395
F13 0.662 0.003 0.895
F14 0.587 0.710 0.092
F15 0.087 0.210 0.408
F16 0.913 0.790 0.592
F17 0.338 0.997 0.105
F18 0.469 0.054 0.379
F19 0.080 0.858 0.855
F20 0.420 0.642 0.355
Ni1 0.798 0.898 0.745
Ni2 0.298 0.398 0.755
Ni3 0.702 0.602 0.245
Ni4 0.202 0.102 0.255
Zn1 0.729 0.258 0.014
Zn2 0.771 0.242 0.514
Zn3 0.229 0.758 0.486
Zn4 0.271 0.742 0.986

Total energy, respectively: -0.26328; -0.28089; -0.32113; -0.29689; -0.26647; -0.26416; -0.47805; -0.35033; -0.32801; -0.27483; -0.39588; -0.34261; -0.25272; -0.44507; -0.37983; -0.48160; -0.23691; -0.52702; -0.45719; -0.31700 Ry per atom.
Total moment, respectively: 0.43; 0.17; 2.30; 0.87; 0.00; 0.00; 0.00; 0.00; 0.00; 0.00; 4.02; 1.52; 0.01; 0.00; 6.29; 5.32; 1.18; 1.17; 0.69; 4.05 μB per cell.
Raw formation energy, respectively: 0.017; 0.426; -0.770; 0.952; -0.160; -0.155; -0.481; -0.383; -0.290; 0.281; -2.768; -0.055; 1.143; -0.415; -0.527; 1.824; 0.509; -0.560; 0.621; -1.831 eV/atom.